## AcInAg (PBE)

Data for AcInAg after structural relaxation. Values from VASP.

Cell and atoms, written as Quantum ESPRESSO input:
```
&SYSTEM
  ibrav = 0, nat = 3, ntyp = 3
/
ATOMIC_SPECIES
Ac 227.00 Ac.upf
Ag 107.87 Ag.upf
In 114.82 In.upf
CELL_PARAMETERS angstrom
3.979 0.000 0.000
0.000 5.038 0.000
0.000 -2.519 4.363
ATOMIC_POSITIONS crystal
Ac 0.667 0.333 0.667
Ag 0.167 0.667 0.333
In 0.167 0.000 0.000
```

The magnetization comes out at 0.0000 μB/atom. Its crystal system is hexagonal. The calculation puts the final energy at -3.63 eV/atom.

***

## VZnRu3 (PBE)

Data for VZnRu3 after structural relaxation. Values from VASP.

Cell and atoms, written as Quantum ESPRESSO input:
```
&SYSTEM
  ibrav = 0, nat = 5, ntyp = 3
/
ATOMIC_SPECIES
Ru 101.07 Ru.upf
Zn 65.41 Zn.upf
V 50.94 V.upf
CELL_PARAMETERS angstrom
-3.879 1.149 -1.845
-2.130 -1.250 3.697
0.437 4.109 1.641
ATOMIC_POSITIONS crystal
Ru 0.000 0.500 0.000
Ru 0.000 0.000 0.500
Ru 0.500 0.000 0.000
Zn 0.000 0.000 0.000
V 0.500 0.500 0.500
```

The magnetization comes out at 0.0925 μB/atom. Its crystal system is cubic. The calculation puts the final energy at -6.14 eV/atom.